## 1
# TeOsAuN2 (PBE-GGA, relaxed)
# crystal system	tetragonal
data_TeOsAuN2
_cell_length_a 3.8405
_cell_length_b 3.8405
_cell_length_c 5.9220
_cell_angle_alpha 90.00
_cell_angle_beta 90.00
_cell_angle_gamma 90.00
_symmetry_space_group_name_H-M 'P 1'
_symmetry_Int_Tables_number 1
loop_
_symmetry_equiv_pos_as_xyz
'x,y,z'
loop_
_atom_site_label
_atom_site_type_symbol
_atom_site_fract_x
_atom_site_fract_y
_atom_site_fract_z
_atom_site_occupancy
Te1 Te 0.0000 0.0000 0.0000 1
Os1 Os 0.0000 0.0000 0.5000 1
Au1 Au 0.5000 0.5000 0.0000 1
N1 N 0.0000 0.5000 0.5000 1
N2 N 0.5000 0.0000 0.5000 1

## 2
# TeOsAuN2 (PBE-GGA, relaxed)
# crystal system	tetragonal
data_TeOsAuN2
_cell_length_a 3.8887
_cell_length_b 3.8887
_cell_length_c 7.7318
_cell_angle_alpha 90.00
_cell_angle_beta 90.00
_cell_angle_gamma 90.00
_symmetry_space_group_name_H-M 'P 1'
_symmetry_Int_Tables_number 1
loop_
_symmetry_equiv_pos_as_xyz
'x,y,z'
loop_
_atom_site_label
_atom_site_type_symbol
_atom_site_fract_x
_atom_site_fract_y
_atom_site_fract_z
_atom_site_occupancy
Te1 Te 0.0000 0.0000 0.0000 1
Os1 Os 0.5000 0.5000 0.0000 1
Au1 Au 0.0000 0.0000 0.5000 1
N1 N 0.0000 0.5000 0.5000 1
N2 N 0.5000 0.0000 0.5000 1

Which of them is least stable? Easy: 2.

## 1
# PRuAuN (PBE-GGA, relaxed)
# crystal system	monoclinic
data_PRuAuN
_cell_length_a 4.5109
_cell_length_b 2.7750
_cell_length_c 5.6498
_cell_angle_alpha 90.00
_cell_angle_beta 96.39
_cell_angle_gamma 90.00
_symmetry_space_group_name_H-M 'P 1'
_symmetry_Int_Tables_number 1
loop_
_symmetry_equiv_pos_as_xyz
'x,y,z'
loop_
_atom_site_label
_atom_site_type_symbol
_atom_site_fract_x
_atom_site_fract_y
_atom_site_fract_z
_atom_site_occupancy
P1 P 0.0000 0.0000 0.0000 1
Ru1 Ru 0.6677 0.5000 0.1709 1
Au1 Au 0.8978 0.0000 0.5813 1
N1 N 0.3551 0.0000 0.0987 1

## 2
# PRuAuN (PBE-GGA, relaxed)
# crystal system	trigonal
data_PRuAuN
_cell_length_a 3.0338
_cell_length_b 3.0338
_cell_length_c 7.2051
_cell_angle_alpha 90.00
_cell_angle_beta 90.00
_cell_angle_gamma 120.00
_symmetry_space_group_name_H-M 'P 1'
_symmetry_Int_Tables_number 1
loop_
_symmetry_equiv_pos_as_xyz
'x,y,z'
loop_
_atom_site_label
_atom_site_type_symbol
_atom_site_fract_x
_atom_site_fract_y
_atom_site_fract_z
_atom_site_occupancy
P1 P 0.0000 0.0000 0.0000 1
Ru1 Ru 0.6667 0.3333 0.2280 1
Au1 Au 0.0000 0.0000 0.6746 1
N1 N 0.0000 0.0000 0.3789 1

## 3
# PRuAuN (PBE-GGA, relaxed)
# crystal system	orthorhombic
data_PRuAuN
_cell_length_a 2.6994
_cell_length_b 3.0141
_cell_length_c 7.0012
_cell_angle_alpha 90.00
_cell_angle_beta 90.00
_cell_angle_gamma 90.00
_symmetry_space_group_name_H-M 'P 1'
_symmetry_Int_Tables_number 1
loop_
_symmetry_equiv_pos_as_xyz
'x,y,z'
loop_
_atom_site_label
_atom_site_type_symbol
_atom_site_fract_x
_atom_site_fract_y
_atom_site_fract_z
_atom_site_occupancy
P1 P 0.0000 0.0000 0.0000 1
Ru1 Ru 0.0000 0.5000 0.2443 1
Au1 Au 0.5000 0.0000 0.5412 1
N1 N 0.5000 0.0000 0.8594 1

## 4
# PRuAuN (PBE-GGA, relaxed)
# crystal system	trigonal
data_PRuAuN
_cell_length_a 3.1078
_cell_length_b 3.1078
_cell_length_c 21.1188
_cell_angle_alpha 90.00
_cell_angle_beta 90.00
_cell_angle_gamma 120.00
_symmetry_space_group_name_H-M 'P 1'
_symmetry_Int_Tables_number 1
loop_
_symmetry_equiv_pos_as_xyz
'x,y,z'
loop_
_atom_site_label
_atom_site_type_symbol
_atom_site_fract_x
_atom_site_fract_y
_atom_site_fract_z
_atom_site_occupancy
P1 P 0.0000 0.0000 0.0000 1
P2 P 0.3333 0.6667 0.6667 1
P3 P 0.6667 0.3333 0.3333 1
Ru1 Ru 0.0000 0.0000 0.5878 1
Ru2 Ru 0.3333 0.6667 0.2545 1
Ru3 Ru 0.6667 0.3333 0.9212 1
Au1 Au 0.0000 0.0000 0.1098 1
Au2 Au 0.3333 0.6667 0.7765 1
Au3 Au 0.6667 0.3333 0.4431 1
N1 N 0.0000 0.0000 0.2099 1
N2 N 0.3333 0.6667 0.8766 1
N3 N 0.6667 0.3333 0.5432 1

Which of them is least stable? Easy: 4.

## 1
# PRuAuN (PBE-GGA, relaxed)
# crystal system	monoclinic
data_PRuAuN
_cell_length_a 10.6641
_cell_length_b 2.7905
_cell_length_c 4.5166
_cell_angle_alpha 90.00
_cell_angle_beta 94.66
_cell_angle_gamma 90.00
_symmetry_space_group_name_H-M 'P 1'
_symmetry_Int_Tables_number 1
loop_
_symmetry_equiv_pos_as_xyz
'x,y,z'
loop_
_atom_site_label
_atom_site_type_symbol
_atom_site_fract_x
_atom_site_fract_y
_atom_site_fract_z
_atom_site_occupancy
P1 P 0.0000 0.0000 0.0000 1
P2 P 0.5000 0.5000 0.0000 1
Ru1 Ru 0.0889 0.5000 0.6599 1
Ru2 Ru 0.5889 0.0000 0.6599 1
Au1 Au 0.3045 0.0000 0.8881 1
Au2 Au 0.8045 0.5000 0.8881 1
N1 N 0.0400 0.0000 0.3549 1
N2 N 0.5400 0.5000 0.3549 1

## 2
# PRuAuN (PBE-GGA, relaxed)
# crystal system	monoclinic
data_PRuAuN
_cell_length_a 7.7770
_cell_length_b 2.8552
_cell_length_c 7.0804
_cell_angle_alpha 90.00
_cell_angle_beta 120.08
_cell_angle_gamma 90.00
_symmetry_space_group_name_H-M 'P 1'
_symmetry_Int_Tables_number 1
loop_
_symmetry_equiv_pos_as_xyz
'x,y,z'
loop_
_atom_site_label
_atom_site_type_symbol
_atom_site_fract_x
_atom_site_fract_y
_atom_site_fract_z
_atom_site_occupancy
P1 P 0.0000 0.0000 0.0000 1
P2 P 0.5000 0.5000 0.0000 1
Ru1 Ru 0.1617 0.5000 0.8635 1
Ru2 Ru 0.6617 0.0000 0.8635 1
Au1 Au 0.4915 0.5000 0.3257 1
Au2 Au 0.9915 0.0000 0.3257 1
N1 N 0.0766 0.0000 0.6484 1
N2 N 0.5766 0.5000 0.6484 1

## 3
# PRuAuN (PBE-GGA, relaxed)
# crystal system	triclinic
data_PRuAuN
_cell_length_a 2.8581
_cell_length_b 3.6441
_cell_length_c 6.0681
_cell_angle_alpha 91.64
_cell_angle_beta 97.30
_cell_angle_gamma 109.92
_symmetry_space_group_name_H-M 'P 1'
_symmetry_Int_Tables_number 1
loop_
_symmetry_equiv_pos_as_xyz
'x,y,z'
loop_
_atom_site_label
_atom_site_type_symbol
_atom_site_fract_x
_atom_site_fract_y
_atom_site_fract_z
_atom_site_occupancy
P1 P 0.0000 0.0000 0.0000 1
Ru1 Ru 0.5974 0.0116 0.3034 1
Au1 Au 0.9650 0.4463 0.7226 1
N1 N 0.9337 0.6104 0.3784 1

Which of them is least stable? Easy: 3.

## 1
# PAuSe2N (PBE-GGA, relaxed)
# crystal system	tetragonal
data_PAuSe2N
_cell_length_a 5.2368
_cell_length_b 5.2368
_cell_length_c 3.7711
_cell_angle_alpha 90.00
_cell_angle_beta 90.00
_cell_angle_gamma 90.00
_symmetry_space_group_name_H-M 'P 1'
_symmetry_Int_Tables_number 1
loop_
_symmetry_equiv_pos_as_xyz
'x,y,z'
loop_
_atom_site_label
_atom_site_type_symbol
_atom_site_fract_x
_atom_site_fract_y
_atom_site_fract_z
_atom_site_occupancy
P1 P 0.0000 0.0000 0.0000 1
Au1 Au 0.5000 0.5000 0.5000 1
Se1 Se 0.0000 0.5000 0.5000 1
Se2 Se 0.5000 0.0000 0.5000 1
N1 N 0.5000 0.5000 0.0000 1

## 2
# PAuSe2N (PBE-GGA, relaxed)
# crystal system	tetragonal
data_PAuSe2N
_cell_length_a 5.1608
_cell_length_b 5.1608
_cell_length_c 3.1915
_cell_angle_alpha 90.00
_cell_angle_beta 90.00
_cell_angle_gamma 90.00
_symmetry_space_group_name_H-M 'P 1'
_symmetry_Int_Tables_number 1
loop_
_symmetry_equiv_pos_as_xyz
'x,y,z'
loop_
_atom_site_label
_atom_site_type_symbol
_atom_site_fract_x
_atom_site_fract_y
_atom_site_fract_z
_atom_site_occupancy
P1 P 0.0000 0.0000 0.0000 1
Au1 Au 0.5000 0.5000 0.5000 1
Se1 Se 0.0000 0.5000 0.0000 1
Se2 Se 0.5000 0.0000 0.0000 1
N1 N 0.0000 0.0000 0.5000 1

Which of them is least stable? Easy: 1.

## 1
# TePAuN2 (PBE-GGA, relaxed)
# crystal system	tetragonal
data_TePAuN2
_cell_length_a 3.6675
_cell_length_b 3.6675
_cell_length_c 5.9685
_cell_angle_alpha 90.00
_cell_angle_beta 90.00
_cell_angle_gamma 90.00
_symmetry_space_group_name_H-M 'P 1'
_symmetry_Int_Tables_number 1
loop_
_symmetry_equiv_pos_as_xyz
'x,y,z'
loop_
_atom_site_label
_atom_site_type_symbol
_atom_site_fract_x
_atom_site_fract_y
_atom_site_fract_z
_atom_site_occupancy
Te1 Te 0.0000 0.0000 0.0000 1
P1 P 0.0000 0.0000 0.5000 1
Au1 Au 0.5000 0.5000 0.0000 1
N1 N 0.0000 0.5000 0.5000 1
N2 N 0.5000 0.0000 0.5000 1

## 2
# TePAuN2 (PBE-GGA, relaxed)
# crystal system	tetragonal
data_TePAuN2
_cell_length_a 3.9186
_cell_length_b 3.9186
_cell_length_c 8.4604
_cell_angle_alpha 90.00
_cell_angle_beta 90.00
_cell_angle_gamma 90.00
_symmetry_space_group_name_H-M 'P 1'
_symmetry_Int_Tables_number 1
loop_
_symmetry_equiv_pos_as_xyz
'x,y,z'
loop_
_atom_site_label
_atom_site_type_symbol
_atom_site_fract_x
_atom_site_fract_y
_atom_site_fract_z
_atom_site_occupancy
Te1 Te 0.0000 0.0000 0.0000 1
P1 P 0.5000 0.5000 0.0000 1
Au1 Au 0.0000 0.0000 0.5000 1
N1 N 0.0000 0.5000 0.5000 1
N2 N 0.5000 0.0000 0.5000 1

Which of them is least stable? Easy: 2.

## 1
# Pa2AuN (PBE-GGA, relaxed)
# crystal system	tetragonal
data_Pa2AuN
_cell_length_a 3.0681
_cell_length_b 3.0681
_cell_length_c 7.5774
_cell_angle_alpha 90.00
_cell_angle_beta 90.00
_cell_angle_gamma 90.00
_symmetry_space_group_name_H-M 'P 1'
_symmetry_Int_Tables_number 1
loop_
_symmetry_equiv_pos_as_xyz
'x,y,z'
loop_
_atom_site_label
_atom_site_type_symbol
_atom_site_fract_x
_atom_site_fract_y
_atom_site_fract_z
_atom_site_occupancy
Pa1 Pa 0.0000 0.0000 0.1977 1
Pa2 Pa 0.0000 0.0000 0.8023 1
Au1 Au 0.5000 0.5000 0.5000 1
N1 N 0.5000 0.5000 0.0000 1

## 2
# Pa2AuN (PBE-GGA, relaxed)
# crystal system	trigonal
data_Pa2AuN
_cell_length_a 3.3842
_cell_length_b 3.3842
_cell_length_c 23.5322
_cell_angle_alpha 90.00
_cell_angle_beta 90.00
_cell_angle_gamma 120.00
_symmetry_space_group_name_H-M 'P 1'
_symmetry_Int_Tables_number 1
loop_
_symmetry_equiv_pos_as_xyz
'x,y,z'
loop_
_atom_site_label
_atom_site_type_symbol
_atom_site_fract_x
_atom_site_fract_y
_atom_site_fract_z
_atom_site_occupancy
Pa1 Pa 0.0000 0.0000 0.2285 1
Pa2 Pa 0.0000 0.0000 0.7715 1
Pa3 Pa 0.3333 0.6667 0.4382 1
Pa4 Pa 0.3333 0.6667 0.8952 1
Pa5 Pa 0.6667 0.3333 0.1048 1
Pa6 Pa 0.6667 0.3333 0.5618 1
Au1 Au 0.0000 0.0000 0.0000 1
Au2 Au 0.3333 0.6667 0.6667 1
Au3 Au 0.6667 0.3333 0.3333 1
N1 N 0.0000 0.0000 0.5000 1
N2 N 0.3333 0.6667 0.1667 1
N3 N 0.6667 0.3333 0.8333 1

Which of them is least stable? Easy: 1.